Record 1
This record from Alexandria via LeMat-Bulk describes ZnFe2Co after structural relaxation. The functional is PBE-GGA.

Values from the calculation:
As for the space group: Cmm2 (35). The value obtained for the energy is -6.3090 eV/atom.

Lattice parameters (Å, degrees): 2.500 2.500 8.066 90.00 90.00 107.77
Site moments in Bohr magnetons follow the coordinates.
Element x y z (fractional)
Fe: 0.500 0.500 0.242  2.39
Fe: 0.000 0.000 0.998  2.52
Co: 0.500 0.500 0.758  1.65
Zn: 0.000 0.000 0.502  -0.06


Record 2
This record from Alexandria via LeMat-Bulk describes LuMgZrIn after structural relaxation. The functional is PBE-GGA.

Values from the calculation:
As for the space group: F-43m (216). The value obtained for the energy is -4.5039 eV/atom.

Lattice parameters (Å, degrees): 5.089 5.089 5.089 60.00 60.00 60.00
Element x y z (fractional)
Mg: 0.750 0.750 0.750
Lu: 0.000 0.000 0.000
In: 0.250 0.250 0.250
Zr: 0.500 0.500 0.500


Record 3
This record from Alexandria via LeMat-Bulk describes LaTmCdSi after structural relaxation. The functional is PBE-GGA.

Values from the calculation:
As for the space group: F-43m (216). The value obtained for the energy is -4.3140 eV/atom.

Lattice parameters (Å, degrees): 5.211 5.211 5.211 60.00 60.00 60.00
Element x y z (fractional)
Tm: 0.500 0.500 0.500
La: 0.000 0.000 0.000
Cd: 0.250 0.250 0.250
Si: 0.750 0.750 0.750